Material: HfCuGe2
Method: DFT, GGA-PBE
State: relaxed

Structure (POSCAR):
```
HfCuGe2
1.0
-1.3127 3.0012 2.0439
1.4284 -1.7306 3.4585
3.6044 1.9320 -0.5219
Hf Ge Cu
1 2 1
direct
0.5000 0.0000 0.0000
0.0000 0.5000 0.0000
0.0000 0.0000 0.5000
0.5000 0.5000 0.5000
```

SG: No. 123
ΔH_f (0 K): -0.98 eV/f.u.
VASP energy: -24.3 eV/f.u.
size of the total moment: 0.0 μB/f.u.

Material: SiHg2Sb
Method: DFT, GGA-PBE
State: relaxed

Structure (POSCAR):
```
SiHg2Sb
1.0
-0.6168 2.5484 -1.7961
1.6926 -2.1072 -1.6719
-8.9675 -4.5380 -3.3592
Sb Hg Si
1 2 1
direct
0.0000 0.0000 0.5402
0.5000 0.5000 0.2445
0.0000 0.0000 0.9751
0.5000 0.5000 0.7401
```

SG: No. 35
excess energy over the best structure of this formula in the dataset: 0.1493 eV per atom
VASP energy: -8.9 eV/f.u.
size of the total moment: 0.0 μB/f.u.

Material: Ti4VNi
Method: DFT, GGA-PBE
State: relaxed

Structure (POSCAR):
```
Ti4VNi
1.0
-0.3464 2.9673 -0.7538
-2.4528 -1.2402 -3.7547
-12.9927 -0.6398 3.4517
Ni Ti V
2 8 2
direct
0.5000 0.5000 0.5000
0.0000 0.0000 0.0000
0.9975 0.3550 0.1581
0.0025 0.6450 0.8419
0.0020 0.3550 0.6574
0.5020 0.1450 0.8426
0.9980 0.6450 0.3426
0.4980 0.8550 0.1574
0.5025 0.8550 0.6581
0.4975 0.1450 0.3419
0.0000 0.0000 0.5000
0.5000 0.5000 0.0000
```

SG: No. 14
ΔH_f (0 K): -0.03 eV/f.u.
VASP energy: -46.5 eV/f.u.
size of the total moment: 0.0 μB/f.u.

Material: CaPmZnIn
Method: DFT, GGA-PBE
State: relaxed

Structure (POSCAR):
```
CaPmZnIn
1.0
5.3339 0.0000 0.0000
2.6670 4.6193 0.0000
2.6670 1.5398 4.3551
In Zn Ca Pm
1 1 1 1
direct
0.5000 0.5000 0.5000
0.0000 0.0000 0.0000
0.2500 0.2500 0.2500
0.7500 0.7500 0.7500
```

SG: No. 216
ΔH_f (0 K): -1.58 eV/f.u.
VASP energy: -12.3 eV/f.u.
size of the total moment: 0.0 μB/f.u.

Which formula does entry 3 have?
Ti4VNi

Which of these has the highest VASP energy?
SiHg2Sb

Please write out number 4 again, unchanged.
Material: CaPmZnIn
Method: DFT, GGA-PBE
State: relaxed

Structure (POSCAR):
```
CaPmZnIn
1.0
5.3339 0.0000 0.0000
2.6670 4.6193 0.0000
2.6670 1.5398 4.3551
In Zn Ca Pm
1 1 1 1
direct
0.5000 0.5000 0.5000
0.0000 0.0000 0.0000
0.2500 0.2500 0.2500
0.7500 0.7500 0.7500
```

SG: No. 216
ΔH_f (0 K): -1.58 eV/f.u.
VASP energy: -12.3 eV/f.u.
size of the total moment: 0.0 μB/f.u.